Density functional theory data (GGA-PBE) for a relaxed structure of HfZrNbHg2.

a = 5.274 Å, b = 4.904 Å, c = 5.274 Å
α = 90.00°, β = 90.00°, γ = 90.00°
Last column: magnetic moment on the atom in μB.
Sites, in units of the cell vectors:
Nb1 0.000 0.000 0.000  -0.02
Hf1 0.000 0.500 0.000  0.04
Hg1 0.000 0.000 0.500  0.00
Hg2 0.500 0.000 0.000  0.00
Zr1 0.500 0.500 0.500  0.36

Summary:
Total DFT energy (no corrections) in eV/atom: -4.77
SG: P4/mmm, No. 123
DFT formation energy in meV/atom: 1068